Below is a relaxed structure of K3ZnCu2Cl9, with properties calculated at the PBE level.

POSCAR file:
```
K3ZnCu2Cl9
1.0
6.919 0.000 0.000
-3.460 5.992 0.000
0.000 0.000 8.486
K Zn Cu Cl
3 1 2 9
Direct
0.000 0.000 0.000 K
0.333 0.667 0.664 K
0.667 0.333 0.336 K
0.000 0.000 0.500 Zn
0.333 0.667 0.161 Cu
0.667 0.333 0.839 Cu
0.000 0.500 0.000 Cl
0.168 0.335 0.331 Cl
0.168 0.832 0.331 Cl
0.335 0.168 0.669 Cl
0.500 0.000 0.000 Cl
0.500 0.500 0.000 Cl
0.665 0.832 0.331 Cl
0.832 0.168 0.669 Cl
0.832 0.665 0.669 Cl
```

Below is a relaxed structure of KZnCu2Cl, with properties calculated at the PBE level.

POSCAR file:
```
KZnCu2Cl
1.0
4.721 0.000 0.000
0.000 4.721 0.000
0.000 0.000 6.470
K Zn Cu Cl
1 1 2 1
Direct
0.000 0.000 0.000 K
0.500 0.500 0.000 Zn
0.000 0.500 0.500 Cu
0.500 0.000 0.500 Cu
0.500 0.500 0.500 Cl
```

Below is a relaxed structure of KZnCu2Cl6, with properties calculated at the PBE level.

POSCAR file:
```
KZnCu2Cl6
1.0
6.803 -5.983 0.000
6.803 5.983 0.000
-3.397 0.000 7.008
K Zn Cu Cl
2 2 4 12
Direct
0.162 0.838 0.750 K
0.838 0.162 0.250 K
0.187 0.813 0.250 Zn
0.813 0.187 0.750 Zn
0.254 0.359 0.834 Cu
0.359 0.254 0.334 Cu
0.641 0.746 0.666 Cu
0.746 0.641 0.166 Cu
0.045 0.181 0.679 Cl
0.162 0.615 0.975 Cl
0.181 0.045 0.179 Cl
0.278 0.411 0.578 Cl
0.385 0.838 0.525 Cl
0.411 0.278 0.078 Cl
0.589 0.722 0.922 Cl
0.615 0.162 0.475 Cl
0.722 0.589 0.422 Cl
0.819 0.955 0.821 Cl
0.838 0.385 0.025 Cl
0.955 0.819 0.321 Cl
```

Below is a relaxed structure of KZnCuCl4, with properties calculated at the PBE level.

POSCAR file:
```
KZnCuCl4
1.0
6.158 0.000 0.000
0.000 9.334 0.000
-1.415 0.000 7.900
K Zn Cu Cl
2 2 2 8
Direct
0.131 0.250 0.125 K
0.869 0.750 0.875 K
0.301 0.750 0.248 Zn
0.699 0.250 0.752 Zn
0.165 0.250 0.654 Cu
0.835 0.750 0.346 Cu
0.041 0.568 0.256 Cl
0.041 0.932 0.256 Cl
0.407 0.750 0.995 Cl
0.436 0.250 0.512 Cl
0.564 0.750 0.488 Cl
0.593 0.250 0.005 Cl
0.959 0.068 0.744 Cl
0.959 0.432 0.744 Cl
```

Below is a relaxed structure of KZrCuCl6, with properties calculated at the PBE level.

POSCAR file:
```
KZrCuCl6
1.0
6.597 0.000 0.000
-3.299 5.713 0.000
0.000 0.000 13.934
K Zr Cu Cl
2 2 2 12
Direct
0.000 0.000 0.000 K
0.000 0.000 0.500 K
0.333 0.667 0.250 Zr
0.667 0.333 0.750 Zr
0.333 0.667 0.750 Cu
0.667 0.333 0.250 Cu
0.007 0.376 0.147 Cl
0.007 0.632 0.353 Cl
0.368 0.376 0.353 Cl
0.368 0.993 0.147 Cl
0.376 0.007 0.647 Cl
0.376 0.368 0.853 Cl
0.624 0.632 0.147 Cl
0.624 0.993 0.353 Cl
0.632 0.007 0.853 Cl
0.632 0.624 0.647 Cl
0.993 0.368 0.647 Cl
0.993 0.624 0.853 Cl
```

LaCuCl | the Alexandria database | PBE | optimized geometry; ΔE to the lowest computed polymorph = 490 meV per atom
1.0
3.750 0.000 0.000
0.000 4.061 0.000
0.000 0.000 9.148
La Cu Cl
2 2 2
Direct
0.000 0.000 0.000 La
0.500 0.500 0.500 La
0.000 0.000 0.347 Cu
0.500 0.500 0.847 Cu
0.000 0.000 0.664 Cl
0.500 0.500 0.164 Cl

LaCu2Cl | the Alexandria database | PBE | optimized geometry; ΔE to the lowest computed polymorph = 498 meV per atom
1.0
7.012 0.000 0.000
0.000 7.012 0.000
0.000 0.000 7.012
La Cu Cl
4 8 4
Direct
0.000 0.000 0.000 La
0.000 0.500 0.500 La
0.500 0.000 0.500 La
0.500 0.500 0.000 La
0.250 0.250 0.250 Cu
0.250 0.250 0.750 Cu
0.250 0.750 0.250 Cu
0.250 0.750 0.750 Cu
0.750 0.250 0.250 Cu
0.750 0.250 0.750 Cu
0.750 0.750 0.250 Cu
0.750 0.750 0.750 Cu
0.000 0.000 0.500 Cl
0.000 0.500 0.000 Cl
0.500 0.000 0.000 Cl
0.500 0.500 0.500 Cl

La2CuCl | the Alexandria database | PBE | optimized geometry; ΔE to the lowest computed polymorph = 164 meV per atom
1.0
3.780 0.000 0.000
0.000 3.801 0.000
0.000 0.000 15.248
La Cu Cl
4 2 2
Direct
0.000 0.000 0.000 La
0.000 0.500 0.264 La
0.500 0.000 0.764 La
0.500 0.500 0.500 La
0.000 0.000 0.413 Cu
0.500 0.500 0.913 Cu
0.000 0.500 0.663 Cl
0.500 0.000 0.163 Cl

Uncorrected energy? In order: -3.131 -2.006 -3.130 -3.131 -4.271 -4.293 -3.850 -4.670 eV/atom.
E_form (uncorrected)? In order: -113.11 45.92 -93.18 -111.17 -145.95 -64.57 -10.47 -69.52 kJ per mole of atoms.